Here is crystalline Ba2NaGa3Au4 at its relaxed geometry from the Alexandria database. Energies are from PBE.

The structure in CIF format:
```
data_Ba2NaGa3Au4
_symmetry_space_group_name_H-M 'P -4 m 2'
_symmetry_Int_Tables_number 115
_cell_length_a 4.728
_cell_length_b 4.728
_cell_length_c 11.051
_cell_angle_alpha 90.00
_cell_angle_beta 90.00
_cell_angle_gamma 90.00
loop_
_symmetry_equiv_pos_as_xyz
'x,y,z'
'y,-x,-z'
'-x,-y,z'
'-y,x,-z'
'-x,y,z'
'-y,-x,-z'
'x,-y,z'
'y,x,-z'
loop_
_atom_site_label
_atom_site_fract_x
_atom_site_fract_y
_atom_site_fract_z
_atom_site_occupancy
Ba1 0.000 0.500 0.240 1
Na1 0.000 0.000 0.500 1
Ga1 0.000 0.500 0.886 1
Ga2 0.500 0.500 0.500 1
Au1 0.000 0.000 0.000 1
Au2 0.000 0.500 0.644 1
Au3 0.500 0.500 0.000 1
```

Properties
The calculation puts the formation energy from the elements at -0.54 eV/atom. For the theoretical density, the calculation gives 8.7 g cm⁻³.

Here is crystalline BaNa2GaAu at its relaxed geometry from the Alexandria database. Energies are from PBE.

The structure in CIF format:
```
data_BaNa2GaAu
_symmetry_space_group_name_H-M 'P 4/m m m'
_symmetry_Int_Tables_number 123
_symmetry_space_group_name_Hall '-P 4 2'
_cell_length_a 5.603
_cell_length_b 5.603
_cell_length_c 4.990
_cell_angle_alpha 90.00
_cell_angle_beta 90.00
_cell_angle_gamma 90.00
loop_
_atom_site_label
_atom_site_fract_x
_atom_site_fract_y
_atom_site_fract_z
_atom_site_occupancy
Ba1 0.000 0.000 0.000 1
Na1 0.000 0.500 0.500 1
Ga1 0.500 0.500 0.000 1
Au1 0.500 0.500 0.500 1
```

Properties
The calculation puts the formation energy from the elements at -0.17 eV/atom. For the theoretical density, the calculation gives 4.8 g cm⁻³.

Here is crystalline BaNdGaAu at its relaxed geometry from the Alexandria database. Energies are from PBE.

The structure in CIF format:
```
data_BaNdGaAu
_symmetry_space_group_name_H-M 'F -4 3 m'
_symmetry_Int_Tables_number 216
_symmetry_space_group_name_Hall 'F -4 2 3'
_cell_length_a 7.771
_cell_length_b 7.771
_cell_length_c 7.771
_cell_angle_alpha 90.00
_cell_angle_beta 90.00
_cell_angle_gamma 90.00
loop_
_atom_site_label
_atom_site_fract_x
_atom_site_fract_y
_atom_site_fract_z
_atom_site_occupancy
Ba1 0.000 0.000 0.000 1
Nd1 0.000 0.000 0.500 1
Ga1 0.250 0.250 0.750 1
Au1 0.250 0.250 0.250 1
```

Properties
The calculation puts the formation energy from the elements at -0.45 eV/atom. For the theoretical density, the calculation gives 7.8 g cm⁻³.

Here is crystalline Ba2GaNiAu at its relaxed geometry from the Alexandria database. Energies are from PBE.

The structure in CIF format:
```
data_Ba2GaNiAu
_symmetry_space_group_name_H-M 'P 4/m m m'
_symmetry_Int_Tables_number 123
_symmetry_space_group_name_Hall '-P 4 2'
_cell_length_a 5.911
_cell_length_b 5.911
_cell_length_c 4.575
_cell_angle_alpha 90.00
_cell_angle_beta 90.00
_cell_angle_gamma 90.00
loop_
_atom_site_label
_atom_site_fract_x
_atom_site_fract_y
_atom_site_fract_z
_atom_site_occupancy
Ba1 0.000 0.500 0.000 1
Ga1 0.000 0.000 0.500 1
Ni1 0.000 0.000 0.000 1
Au1 0.500 0.500 0.500 1
```

Properties
The calculation puts the formation energy from the elements at -0.32 eV/atom. For the theoretical density, the calculation gives 6.2 g cm⁻³.

Here is crystalline BaGa2NiAu at its relaxed geometry from the Alexandria database. Energies are from PBE.

The structure in CIF format:
```
data_BaGa2NiAu
_symmetry_space_group_name_H-M 'P 4/m m m'
_symmetry_Int_Tables_number 123
_symmetry_space_group_name_Hall '-P 4 2'
_cell_length_a 4.669
_cell_length_b 4.669
_cell_length_c 5.229
_cell_angle_alpha 90.00
_cell_angle_beta 90.00
_cell_angle_gamma 90.00
loop_
_atom_site_label
_atom_site_fract_x
_atom_site_fract_y
_atom_site_fract_z
_atom_site_occupancy
Ba1 0.000 0.000 0.000 1
Ga1 0.000 0.500 0.500 1
Ni1 0.500 0.500 0.500 1
Au1 0.500 0.500 0.000 1
```

Properties
The calculation puts the formation energy from the elements at -0.39 eV/atom. For the theoretical density, the calculation gives 7.8 g cm⁻³.

Here is crystalline Ba2GaAuO4 at its relaxed geometry from the Alexandria database. Energies are from PBE.

The structure in CIF format:
```
data_Ba2GaAuO4
_symmetry_space_group_name_H-M 'I -4'
_symmetry_Int_Tables_number 82
_cell_length_a 6.468
_cell_length_b 6.468
_cell_length_c 6.899
_cell_angle_alpha 90.00
_cell_angle_beta 90.00
_cell_angle_gamma 90.00
loop_
_symmetry_equiv_pos_as_xyz
'x,y,z'
'y,-x,-z'
'-x,-y,z'
'-y,x,-z'
'x+1/2,y+1/2,z+1/2'
'y+1/2,-x+1/2,-z+1/2'
'-x+1/2,-y+1/2,z+1/2'
'-y+1/2,x+1/2,-z+1/2'
loop_
_atom_site_label
_atom_site_fract_x
_atom_site_fract_y
_atom_site_fract_z
_atom_site_occupancy
Ba1 0.000 0.000 0.000 1
Ba2 0.000 0.500 0.250 1
Ga1 0.000 0.000 0.500 1
Au1 0.000 0.500 0.750 1
O1 0.158 0.819 0.656 1
```

Properties
For the theoretical density, the calculation gives 7.0 g cm⁻³. The formation energy (no corrections) is -1.7032 eV per atom.

Here is crystalline Ba2GaPAu at its relaxed geometry from the Alexandria database. Energies are from PBE.

The structure in CIF format:
```
data_Ba2GaPAu
_symmetry_space_group_name_H-M 'P 1 21/m 1'
_symmetry_Int_Tables_number 11
_cell_length_a 7.810
_cell_length_b 4.875
_cell_length_c 8.239
_cell_angle_alpha 90.00
_cell_angle_beta 93.68
_cell_angle_gamma 90.00
loop_
_symmetry_equiv_pos_as_xyz
'x,y,z'
'-x,-y,-z'
'-x,y+1/2,-z'
'x,-y+1/2,z'
loop_
_atom_site_label
_atom_site_fract_x
_atom_site_fract_y
_atom_site_fract_z
_atom_site_occupancy
Ba1 0.192 0.250 0.497 1
Ba2 0.239 0.250 0.989 1
Ga1 0.432 0.750 0.305 1
P1 0.125 0.750 0.236 1
Au1 0.444 0.750 0.695 1
```

Properties
The calculation puts the formation energy from the elements at -0.77 eV/atom. For the theoretical density, the calculation gives 6.1 g cm⁻³.

Here is crystalline Ba2GaPbAu6 at its relaxed geometry from the Alexandria database. Energies are from PBE.

The structure in CIF format:
```
data_Ba2GaPbAu6
_symmetry_space_group_name_H-M 'P -1'
_symmetry_Int_Tables_number 2
_cell_length_a 6.031
_cell_length_b 7.214
_cell_length_c 7.570
_cell_angle_alpha 83.92
_cell_angle_beta 66.56
_cell_angle_gamma 65.29
loop_
_symmetry_equiv_pos_as_xyz
'x,y,z'
'-x,-y,-z'
loop_
_atom_site_label
_atom_site_fract_x
_atom_site_fract_y
_atom_site_fract_z
_atom_site_occupancy
Ba1 0.038 0.216 0.208 1
Ga1 0.500 0.000 0.500 1
Pb1 0.500 0.500 0.000 1
Au1 0.018 0.244 0.718 1
Au2 0.356 0.390 0.400 1
Au3 0.481 0.756 0.281 1
```

Properties
The calculation puts the formation energy from the elements at -0.44 eV/atom. For the theoretical density, the calculation gives 10.5 g cm⁻³.

Here is crystalline BaGaPbAu at its relaxed geometry from the Alexandria database. Energies are from PBE.

The structure in CIF format:
```
data_BaGaPbAu
_symmetry_space_group_name_H-M 'F -4 3 m'
_symmetry_Int_Tables_number 216
_symmetry_space_group_name_Hall 'F -4 2 3'
_cell_length_a 7.655
_cell_length_b 7.655
_cell_length_c 7.655
_cell_angle_alpha 90.00
_cell_angle_beta 90.00
_cell_angle_gamma 90.00
loop_
_atom_site_label
_atom_site_fract_x
_atom_site_fract_y
_atom_site_fract_z
_atom_site_occupancy
Ba1 0.000 0.000 0.000 1
Ga1 0.250 0.250 0.250 1
Pb1 0.000 0.000 0.500 1
Au1 0.250 0.250 0.750 1
```

Properties
The calculation puts the formation energy from the elements at -0.34 eV/atom. For the theoretical density, the calculation gives 9.1 g cm⁻³.

Here is crystalline Ba2GaPb6Au at its relaxed geometry from the Alexandria database. Energies are from PBE.

The structure in CIF format:
```
data_Ba2GaPb6Au
_symmetry_space_group_name_H-M 'R -3 m'
_symmetry_Int_Tables_number 166
_symmetry_space_group_name_Hall '-R 3 2"'
_cell_length_a 7.7040
_cell_length_b 7.7040
_cell_length_c 39.8859
_cell_angle_alpha 90.00
_cell_angle_beta 90.00
_cell_angle_gamma 120.00
loop_
_atom_site_label
_atom_site_fract_x
_atom_site_fract_y
_atom_site_fract_z
_atom_site_occupancy
Ba1 0.0000 0.0000 0.1164 1
Ba2 0.0000 0.0000 0.2932 1
Ga1 0.0000 0.0000 0.4308 1
Pb1 0.0383 0.5191 0.2915 1
Pb2 0.0551 0.5275 0.8711 1
Au1 0.0000 0.0000 0.0000 1
Au2 0.0000 0.0000 0.5000 1
```

Properties
The calculation puts the formation energy from the elements at -0.20 eV/atom. For the theoretical density, the calculation gives 8.7 g cm⁻³.

Here is crystalline BaGaPb2Au at its relaxed geometry from the Alexandria database. Energies are from PBE.

The structure in CIF format:
```
data_BaGaPb2Au
_symmetry_space_group_name_H-M 'P 4/m m m'
_symmetry_Int_Tables_number 123
_symmetry_space_group_name_Hall '-P 4 2'
_cell_length_a 5.631
_cell_length_b 5.631
_cell_length_c 5.005
_cell_angle_alpha 90.00
_cell_angle_beta 90.00
_cell_angle_gamma 90.00
loop_
_atom_site_label
_atom_site_fract_x
_atom_site_fract_y
_atom_site_fract_z
_atom_site_occupancy
Ba1 0.000 0.000 0.000 1
Ga1 0.500 0.500 0.500 1
Pb1 0.000 0.500 0.500 1
Au1 0.500 0.500 0.000 1
```

Properties
The calculation puts the formation energy from the elements at -0.16 eV/atom. For the theoretical density, the calculation gives 8.6 g cm⁻³.

Here is crystalline BaGaPbAu3 at its relaxed geometry from the Alexandria database. Energies are from PBE.

The structure in CIF format:
```
data_BaGaPbAu3
_symmetry_space_group_name_H-M 'C m c m'
_symmetry_Int_Tables_number 63
_symmetry_space_group_name_Hall '-C 2c 2'
_cell_length_a 7.321
_cell_length_b 13.928
_cell_length_c 7.014
_cell_angle_alpha 90.00
_cell_angle_beta 90.00
_cell_angle_gamma 90.00
loop_
_atom_site_label
_atom_site_fract_x
_atom_site_fract_y
_atom_site_fract_z
_atom_site_occupancy
Ba1 0.000 0.219 0.250 1
Ga1 0.000 0.093 0.750 1
Pb1 0.000 0.468 0.750 1
Au1 0.000 0.271 0.750 1
Au2 0.194 0.000 0.000 1
```

Properties
The calculation puts the formation energy from the elements at -0.34 eV/atom. For the theoretical density, the calculation gives 9.3 g cm⁻³.